# Li2TiNiO4 | Alexandria | SCAN | PBEsol geometry
data_Li2TiNiO4
_chemical_formula_sum 'Li2 Ti1 Ni1 O4'
_symmetry_space_group_name_H-M 'P 1'
_symmetry_Int_Tables_number 1
_cell_length_a 4.9575
_cell_length_b 2.9313
_cell_length_c 5.0764
_cell_angle_alpha 90.00
_cell_angle_beta 108.88
_cell_angle_gamma 90.00
loop_
_symmetry_equiv_pos_as_xyz
'x,y,z'
loop_
_atom_site_label
_atom_site_fract_x
_atom_site_fract_y
_atom_site_fract_z
Li1 0.0000 0.0000 0.0000
Li2 0.5000 0.5000 0.0000
Ti1 0.0000 0.5000 0.5000
Ni1 0.5000 0.0000 0.5000
O1 0.2282 0.0000 0.7331
O2 0.2471 0.5000 0.2687
O3 0.7529 0.5000 0.7313
O4 0.7718 0.0000 0.2669
# V: 8.72 Å³ per atom
# total DFT energy (no corrections): -10.20 eV per atom
# uncorrected formation energy: -2.463 eV per atom